! BaAgSb2, single point on PBEsol structure, DFT meta-GGA SCAN; values from VASP
! * DOS at the Fermi energy: 1.87 states/eV per cell
! * volume: 111.3 Å³ per cell
! * formation energy from raw total energies: -1.294 eV per formula unit
&SYSTEM
  ibrav = 0, nat = 4, ntyp = 3
/
ATOMIC_SPECIES
Ba 137.33 Ba.upf
Ag 107.87 Ag.upf
Sb 121.76 Sb.upf
CELL_PARAMETERS angstrom
4.8117 0.0000 0.0000
0.0000 4.8117 0.0000
0.0000 0.0000 4.8080
ATOMIC_POSITIONS crystal
Ba 0.0000 0.0000 0.0000
Ag 0.5000 0.5000 0.0000
Sb 0.0000 0.5000 0.5000
Sb 0.5000 0.0000 0.5000